Below is crystalline CsAcTh at its relaxed geometry, with properties calculated at the PBE level.

Calculated values
Final energy in eV/atom: -3.47

Lattice parameters (Å, degrees): 7.3332 7.3332 6.0750 90.00 90.00 121.72
With the nearest neighbours (Å) after each atom.
Atoms (fractional coordinates):
Cs 0.0813 0.9187 0.5000  2 Cs 3.68, 4 Ac 3.94-4.00, 2 Th 3.98
Cs 0.9187 0.0813 0.0000  2 Cs 3.68, 4 Ac 3.94-4.00, 2 Th 3.98
Ac 0.2779 0.7221 0.9991  3 Th 3.55-3.72, 2 Cs 3.94-3.95
Ac 0.7221 0.2779 0.4991  3 Th 3.55-3.72, 2 Cs 3.94-3.95
Th 0.4448 0.5552 0.4984  2 Th 3.35, 3 Ac 3.55-3.72
Th 0.5552 0.4448 0.9984  2 Th 3.35, 3 Ac 3.55-3.72


Below is crystalline CsAcTh at its relaxed geometry, with properties calculated at the PBE level.

Calculated values
Final energy in eV/atom: -2.75

Lattice parameters (Å, degrees): 5.7619 5.7619 5.7619 60.00 60.00 60.00
With the nearest neighbours (Å) after each atom.
Atoms (fractional coordinates):
Cs 0.0000 0.0000 0.0000  4 Th 3.53, 4 Ac 3.53
Ac 0.2500 0.2500 0.2500  4 Cs 3.53
Th 0.7500 0.7500 0.7500  4 Cs 3.53


Below is crystalline CsAcU at its relaxed geometry, with properties calculated at the PBE level.

Calculated values
Final energy in eV/atom: -3.50

Lattice parameters (Å, degrees): 5.7649 5.7649 5.7649 60.00 60.00 60.00
With the nearest neighbours (Å) after each atom.
Atoms (fractional coordinates):
Cs 0.0000 0.0000 0.0000  4 Ac 3.53, 4 U 3.53
Ac 0.7500 0.7500 0.7500  4 Cs 3.53
U 0.2500 0.2500 0.2500  4 Cs 3.53


Below is crystalline CsAcW at its relaxed geometry, with properties calculated at the PBE level.

Calculated values
Final energy in eV/atom: -3.77

Lattice parameters (Å, degrees): 5.6018 5.6018 5.6018 60.00 60.00 60.00
With the nearest neighbours (Å) after each atom.
Atoms (fractional coordinates):
Cs 0.0000 0.0000 0.0000  4 Ac 3.43
Ac 0.2500 0.2500 0.2500  4 W 3.43, 4 Cs 3.43
W 0.5000 0.5000 0.5000  4 Ac 3.43


Below is crystalline CsAcW at its relaxed geometry, with properties calculated at the PBE level.

Calculated values
Final energy in eV/atom: -3.64

Lattice parameters (Å, degrees): 5.3670 5.3670 5.3670 60.00 60.00 60.00
With the nearest neighbours (Å) after each atom.
Atoms (fractional coordinates):
Cs 0.0000 0.0000 0.0000  4 Ac 3.29, 4 W 3.29
Ac 0.7500 0.7500 0.7500  4 Cs 3.29
W 0.2500 0.2500 0.2500  4 Cs 3.29


Below is crystalline CsAcZr at its relaxed geometry, with properties calculated at the PBE level.

Calculated values
Final energy in eV/atom: -2.93

Lattice parameters (Å, degrees): 5.5606 5.5606 5.5606 60.00 60.00 60.00
With the nearest neighbours (Å) after each atom.
Atoms (fractional coordinates):
Cs 0.0000 0.0000 0.0000  4 Ac 3.41, 4 Zr 3.41
Ac 0.7500 0.7500 0.7500  4 Cs 3.41
Zr 0.2500 0.2500 0.2500  4 Cs 3.41